DFT (PBE) results for a relaxed LaTe4Pb crystal.

Cell: 9.077 9.077 9.077 Å, 90.00 90.00 90.00°
Space group F-43m (No. 216)
Asymmetric unit:
La: 0.000 0.000 0.000 [4 per cell]
Te: 0.125 0.125 0.375 [16 per cell]
Pb: 0.250 0.250 0.750 [4 per cell]

The energy relative to the elements, uncorrected comes out at -0.11 eV per atom. As for the final energy: -0.1340 hartree per atom. The size of the total moment comes out at 0.00 Bohr magnetons per cell.